(1)
! GGA-PBE RbErPaSe4, relaxed; values from VASP
&SYSTEM
  ibrav = 0, nat = 14, ntyp = 4
/
ATOMIC_SPECIES
Se 78.96 Se.upf
Er 167.26 Er.upf
Rb 85.47 Rb.upf
Pa 231.04 Pa.upf
ATOMIC_POSITIONS crystal
Se 0.733 0.467 0.691
Se 0.267 0.533 0.309
Se 0.314 0.038 0.269
Er 0.500 0.000 0.500
Rb 0.883 0.765 0.133
Rb 0.117 0.235 0.867
Se 0.733 0.467 0.276
Se 0.686 0.962 0.731
Pa 0.000 0.500 0.500
Se 0.267 0.533 0.724
Pa 0.500 0.500 0.500
Er 0.500 0.000 0.000
Se 0.724 0.038 0.269
Se 0.276 0.962 0.731
CELL_PARAMETERS angstrom
9.019 0.000 0.000
-4.509 7.551 -0.562
0.000 -4.576 7.525
! DOS at the Fermi energy: 0.589 states/eV/atom
! ΔE_f (raw): -1.481 eV per atom
! VASP energy: -78.7 eV for the cell shown



(2)
! GGA-PBE Rb2ErPa2Se6, relaxed; values from VASP
&SYSTEM
  ibrav = 0, nat = 11, ntyp = 4
/
ATOMIC_SPECIES
Se 78.96 Se.upf
Er 167.26 Er.upf
Rb 85.47 Rb.upf
Pa 231.04 Pa.upf
ATOMIC_POSITIONS crystal
Se 0.063 0.396 0.693
Se 0.736 0.736 0.696
Er 0.000 0.000 0.500
Se 0.396 0.063 0.693
Rb 0.833 0.167 0.000
Se 0.264 0.264 0.304
Pa 0.336 0.664 0.500
Se 0.937 0.604 0.307
Pa 0.664 0.336 0.500
Se 0.604 0.937 0.307
Rb 0.167 0.833 0.000
CELL_PARAMETERS angstrom
7.184 -0.002 0.078
-3.553 6.245 0.078
-1.275 -2.192 8.230
! DOS at the Fermi energy: 1.104 states/eV/atom
! ΔE_f (raw): -1.487 eV per atom
! VASP energy: -62.8 eV for the cell shown



(3)
! GGA-PBE Rb3Er3PaTe8, relaxed; values from VASP
&SYSTEM
  ibrav = 0, nat = 15, ntyp = 4
/
ATOMIC_SPECIES
Rb 85.47 Rb.upf
Te 127.60 Te.upf
Er 167.26 Er.upf
Pa 231.04 Pa.upf
ATOMIC_POSITIONS crystal
Rb 0.000 0.500 0.000
Te 0.234 0.469 0.697
Rb 0.000 0.000 0.000
Er 0.000 0.500 0.500
Er 0.500 0.000 0.500
Te 0.732 0.465 0.697
Rb 0.500 0.500 0.000
Te 0.729 0.963 0.697
Er 0.500 0.500 0.500
Te 0.271 0.037 0.303
Te 0.268 0.535 0.303
Pa 0.000 0.000 0.500
Te 0.766 0.037 0.303
Te 0.766 0.531 0.303
Te 0.234 0.963 0.697
CELL_PARAMETERS angstrom
-2.275 7.949 -3.323
-5.081 -3.845 6.229
8.801 3.847 3.176
! DOS at the Fermi energy: 0.192 states/eV/atom
! ΔE_f (raw): -1.264 eV per atom
! VASP energy: -70.2 eV for the cell shown



(4)
! GGA-PBE Rb2ErPa2Te6, relaxed; values from VASP
&SYSTEM
  ibrav = 0, nat = 11, ntyp = 4
/
ATOMIC_SPECIES
Te 127.60 Te.upf
Rb 85.47 Rb.upf
Pa 231.04 Pa.upf
Er 167.26 Er.upf
ATOMIC_POSITIONS crystal
Te 0.266 0.266 0.300
Te 0.734 0.734 0.700
Rb 0.833 0.167 0.000
Te 0.602 0.930 0.299
Pa 0.667 0.333 0.500
Te 0.398 0.070 0.701
Rb 0.167 0.833 0.000
Te 0.930 0.602 0.299
Te 0.070 0.398 0.701
Pa 0.333 0.667 0.500
Er 0.000 0.000 0.500
CELL_PARAMETERS angstrom
7.617 -0.025 0.064
-3.786 6.609 0.064
-1.363 -2.343 8.859
! DOS at the Fermi energy: 1.322 states/eV/atom
! ΔE_f (raw): -1.059 eV per atom
! VASP energy: -56.0 eV for the cell shown



Which of these has the highest DOS at the Fermi energy?
Rb2ErPa2Te6